# PmErPdPt, optimized geometry, DFT PBE
data_PmErPdPt
_chemical_formula_sum 'Pm4 Er4 Pd4 Pt4'
_cell_length_a 7.0662
_cell_length_b 7.0662
_cell_length_c 7.0662
_cell_angle_alpha 90.00
_cell_angle_beta 90.00
_cell_angle_gamma 90.00
_symmetry_space_group_name_H-M 'F -4 3 m'
_symmetry_Int_Tables_number 216
_symmetry_space_group_name_Hall 'F -4 2 3'
loop_
_atom_site_label
_atom_site_type_symbol
_atom_site_fract_x
_atom_site_fract_y
_atom_site_fract_z
Pm1 Pm 0.0000 0.0000 0.0000
Er1 Er 0.0000 0.0000 0.5000
Pd1 Pd 0.2500 0.2500 0.7500
Pt1 Pt 0.2500 0.2500 0.2500
# Crystal system   cubic
# Formation enthalpy at 0 K   -97.1 kJ per mole of atoms